Computed, not measured: Ba2LiAl3 after structural relaxation at the PBE level of DFT.

Unit cell a=8.7653 b=5.3719 c=9.1382 alpha=90.00 beta=118.60 gamma=90.00
Space group P2_1/m (No. 11)
One atom of each set of equivalent atoms:
Ba1 0.0314 0.2500 0.2041 (multiplicity 2)
Ba2 0.3265 0.2500 0.7961 (multiplicity 2)
Li1 0.2061 0.7500 0.4998 (multiplicity 2)
Al1 0.2813 0.7500 0.2159 (multiplicity 2)
Al2 0.4360 0.2500 0.2164 (multiplicity 2)
Al3 0.5000 0.0000 0.5000 (multiplicity 2)

Results
formation energy from the elements = -81.1 meV/atom
DOS at the Fermi energy = 0.670 states/eV per atom
DFT total energy = -2.91 eV/atom